(1)
# NpGeAu2

A geometry-optimized NpGeAu2 structure (PBE, Alexandria via LeMat-Bulk).

Lattice parameters (Å, degrees): 2.9038 2.9038 32.6868 90.00 90.00 120.00
Closest atoms and distances in Å follow each position.
Positions (direct):
Np1 0.0000 0.0000 0.0000  6 Np 2.90, 6 Au 3.21
Np2 0.3333 0.6667 0.6667  6 Np 2.90, 6 Au 3.21
Np3 0.6667 0.3333 0.3333  6 Np 2.90, 6 Au 3.21
Ge1 0.0000 0.0000 0.5000  2 Au 2.72, 6 Ge 2.90
Ge2 0.3333 0.6667 0.1667  2 Au 2.72, 6 Ge 2.90
Ge3 0.6667 0.3333 0.8333  2 Au 2.72, 6 Ge 2.90
Au1 0.0000 0.0000 0.4169  1 Ge 2.72, 6 Au 2.90
Au2 0.0000 0.0000 0.5831  1 Ge 2.72, 6 Au 2.90
Au3 0.3333 0.6667 0.0836  1 Ge 2.72, 6 Au 2.90
Au4 0.3333 0.6667 0.2497  1 Ge 2.72, 6 Au 2.90
Au5 0.6667 0.3333 0.7503  1 Ge 2.72, 6 Au 2.90
Au6 0.6667 0.3333 0.9164  1 Ge 2.72, 6 Au 2.90

Computed properties:
ΔH_f (0 K) = 0.28 eV per formula unit

---

(2)
# Ca3C

A geometry-optimized Ca3C structure (PBE, Alexandria via LeMat-Bulk).

Lattice parameters (Å, degrees): 6.7421 10.4918 6.0947 90.00 90.00 90.00
Closest atoms and distances in Å follow each position.
Positions (direct):
Ca1 0.0835 0.2500 0.1948  2 C 2.61-2.69
Ca2 0.1713 0.0985 0.7105  2 C 2.56-2.59
Ca3 0.1713 0.4015 0.7105  2 C 2.56-2.59
Ca4 0.3287 0.5985 0.2105  2 C 2.56-2.59
Ca5 0.3287 0.9015 0.2105  2 C 2.56-2.59
Ca6 0.4165 0.7500 0.6948  2 C 2.61-2.69
Ca7 0.5835 0.2500 0.3052  2 C 2.61-2.69
Ca8 0.6713 0.0985 0.7895  2 C 2.56-2.59
Ca9 0.6713 0.4015 0.7895  2 C 2.56-2.59
Ca10 0.8287 0.5985 0.2895  2 C 2.56-2.59
Ca11 0.8287 0.9015 0.2895  2 C 2.56-2.59
Ca12 0.9165 0.7500 0.8052  2 C 2.61-2.69
C1 0.0982 0.7500 0.4279  6 Ca 2.56-2.69
C2 0.4018 0.2500 0.9279  6 Ca 2.56-2.69
C3 0.5982 0.7500 0.0721  6 Ca 2.56-2.69
C4 0.9018 0.2500 0.5721  6 Ca 2.56-2.69

Computed properties:
Polymorph energy (0 for the lowest one) = 25.9 meV per atom
ΔH_f (0 K) = 1.09 eV per formula unit

---

(3)
# ScCBr3

A geometry-optimized ScCBr3 structure (PBE, Alexandria via LeMat-Bulk).

Lattice parameters (Å, degrees): 5.2945 5.2945 5.2945 90.00 90.00 90.00
Closest atoms and distances in Å follow each position.
Positions (direct):
Sc1 0.0000 0.0000 0.0000  6 Br 2.65
C1 0.5000 0.5000 0.5000  12 Br 3.74
Br1 0.0000 0.0000 0.5000  2 Sc 2.65
Br2 0.0000 0.5000 0.0000  2 Sc 2.65
Br3 0.5000 0.0000 0.0000  2 Sc 2.65

Computed properties:
ΔE_f (raw) = 0.316 eV per atom

---

no.,Fermi-level density of states (states/eV/cell)
1,10.20
2,7.05
3,8.28